Record 1
{"formula": "HoFe2B2", "functional": "PBE", "state": "optimized geometry", "cell": [[-1.795, 1.795, 4.676], [1.795, -1.795, 4.676], [1.795, 1.795, -4.676]], "species": ["Ho", "Fe", "Fe", "B", "B"], "fractional_positions": [[0.000, 0.000, 0.000], [0.250, 0.750, 0.500], [0.750, 0.250, 0.500], [0.346, 0.346, 0.000], [0.654, 0.654, 0.000]], "formation_enthalpy_0k_ev_per_atom": -0.445}

Record 2
{"formula": "HoFeB4", "functional": "PBE", "state": "optimized geometry", "cell": [[-1.564, 2.672, 3.599], [1.564, -2.672, 3.599], [1.564, 2.672, -3.599]], "species": ["Ho", "Fe", "B", "B", "B", "B"], "fractional_positions": [[0.000, 0.000, 0.000], [0.500, 0.500, 0.000], [0.082, 0.750, 0.332], [0.418, 0.750, 0.668], [0.582, 0.250, 0.332], [0.918, 0.250, 0.668]], "relative_energy_mev_per_atom": 388.5, "formation_enthalpy_0k_ev_per_atom": -0.237}

Record 3
{"formula": "HoFeB2", "functional": "PBE", "state": "optimized geometry", "cell": [[5.778, 0.000, 0.000], [0.000, 5.180, 0.000], [0.000, 0.000, 6.108]], "species": ["Ho", "Ho", "Ho", "Ho", "Fe", "Fe", "Fe", "Fe", "B", "B", "B", "B", "B", "B", "B", "B"], "fractional_positions": [[0.004, 0.250, 0.155], [0.496, 0.750, 0.655], [0.504, 0.250, 0.345], [0.996, 0.750, 0.845], [0.179, 0.250, 0.681], [0.321, 0.750, 0.181], [0.679, 0.250, 0.819], [0.821, 0.750, 0.319], [0.127, 0.583, 0.457], [0.127, 0.917, 0.457], [0.373, 0.083, 0.957], [0.373, 0.417, 0.957], [0.627, 0.583, 0.043], [0.627, 0.917, 0.043], [0.873, 0.083, 0.543], [0.873, 0.417, 0.543]], "relative_energy_mev_per_atom": 0.0, "formation_enthalpy_0k_ev_per_atom": -0.501}

Record 4
{"formula": "HoFe3B3", "functional": "PBE", "state": "optimized geometry", "cell": [[5.489, 0.000, 0.000], [0.000, 5.489, 0.000], [0.000, 0.000, 5.489]], "species": ["Ho", "Ho", "Fe", "Fe", "Fe", "Fe", "Fe", "Fe", "B", "B", "B", "B", "B", "B"], "fractional_positions": [[0.000, 0.000, 0.000], [0.500, 0.500, 0.500], [0.000, 0.250, 0.500], [0.000, 0.750, 0.500], [0.250, 0.500, 0.000], [0.500, 0.000, 0.250], [0.500, 0.000, 0.750], [0.750, 0.500, 0.000], [0.000, 0.500, 0.250], [0.000, 0.500, 0.750], [0.250, 0.000, 0.500], [0.500, 0.250, 0.000], [0.500, 0.750, 0.000], [0.750, 0.000, 0.500]], "relative_energy_mev_per_atom": 75.4, "formation_enthalpy_0k_ev_per_atom": -0.065}

Record 5
{"formula": "HoFe4B4", "functional": "PBE", "state": "optimized geometry", "cell": [[6.927, 0.000, 0.000], [0.000, 6.927, 0.000], [0.000, 0.000, 3.820]], "species": ["Ho", "Ho", "Fe", "Fe", "Fe", "Fe", "Fe", "Fe", "Fe", "Fe", "B", "B", "B", "B", "B", "B", "B", "B"], "fractional_positions": [[0.250, 0.250, 0.250], [0.750, 0.750, 0.750], [0.118, 0.635, 0.140], [0.135, 0.882, 0.640], [0.365, 0.618, 0.640], [0.382, 0.865, 0.140], [0.618, 0.135, 0.860], [0.635, 0.382, 0.360], [0.865, 0.118, 0.360], [0.882, 0.365, 0.860], [0.051, 0.917, 0.143], [0.083, 0.551, 0.643], [0.417, 0.949, 0.643], [0.449, 0.583, 0.143], [0.551, 0.417, 0.857], [0.583, 0.051, 0.357], [0.917, 0.449, 0.357], [0.949, 0.083, 0.857]], "formation_enthalpy_0k_ev_per_atom": -0.486}

Record 6
{"formula": "HoMnFeB3", "functional": "PBE", "state": "optimized geometry", "cell": [[2.649, -4.752, 0.000], [2.649, 4.752, 0.000], [0.000, 0.000, 5.491]], "species": ["Ho", "Ho", "Mn", "Mn", "Fe", "Fe", "B", "B", "B", "B", "B", "B"], "fractional_positions": [[0.243, 0.757, 0.750], [0.757, 0.243, 0.250], [0.455, 0.545, 0.250], [0.545, 0.455, 0.750], [0.064, 0.936, 0.250], [0.936, 0.064, 0.750], [0.238, 0.238, 0.000], [0.238, 0.238, 0.500], [0.260, 0.740, 0.250], [0.740, 0.260, 0.750], [0.762, 0.762, 0.000], [0.762, 0.762, 0.500]], "formation_enthalpy_0k_ev_per_atom": -0.246}

Record 7
{"formula": "HoFe2Si2B", "functional": "PBE", "state": "optimized geometry", "cell": [[3.876, 0.000, 0.000], [0.000, 3.876, 0.000], [0.000, 0.000, 5.191]], "species": ["Ho", "Fe", "Fe", "Si", "Si", "B"], "fractional_positions": [[0.000, 0.000, 0.000], [0.000, 0.500, 0.500], [0.500, 0.000, 0.500], [0.500, 0.500, 0.231], [0.500, 0.500, 0.769], [0.000, 0.000, 0.500]], "raw_formation_energy_ev_per_atom": -0.59}

Record 8
{"formula": "FeBI3", "functional": "PBE", "state": "optimized geometry", "cell": [[5.118, 0.000, 0.000], [0.000, 5.118, 0.000], [0.000, 0.000, 5.118]], "species": ["Fe", "B", "I", "I", "I"], "fractional_positions": [[0.000, 0.000, 0.000], [0.500, 0.500, 0.500], [0.000, 0.500, 0.500], [0.500, 0.000, 0.500], [0.500, 0.500, 0.000]], "relative_energy_mev_per_atom": 31.2, "raw_formation_energy_ev_per_atom": 1.12}

Record 9
{"formula": "FeBI3", "functional": "PBE", "state": "optimized geometry", "cell": [[5.461, 0.000, 0.000], [0.000, 5.461, 0.000], [0.000, 0.000, 5.461]], "species": ["Fe", "B", "I", "I", "I"], "fractional_positions": [[0.000, 0.000, 0.000], [0.500, 0.500, 0.500], [0.000, 0.000, 0.500], [0.000, 0.500, 0.000], [0.500, 0.000, 0.000]], "relative_energy_mev_per_atom": 0.0, "raw_formation_energy_ev_per_atom": 1.09}

Record 10
{"formula": "Fe2B2I", "functional": "PBE", "state": "optimized geometry", "cell": [[-1.908, 1.908, 3.832], [1.908, -1.908, 3.832], [1.908, 1.908, -3.832]], "species": ["Fe", "Fe", "B", "B", "I"], "fractional_positions": [[0.250, 0.750, 0.500], [0.750, 0.250, 0.500], [0.118, 0.118, 0.000], [0.882, 0.882, 0.000], [0.500, 0.500, 0.000]], "relative_energy_mev_per_atom": 147.9, "raw_formation_energy_ev_per_atom": 0.68}

Record 11
{"formula": "FeB3I", "functional": "PBE", "state": "optimized geometry", "cell": [[4.060, 0.000, 0.000], [0.000, 4.060, 0.000], [0.000, 0.000, 4.060]], "species": ["Fe", "B", "B", "B", "I"], "fractional_positions": [[0.000, 0.000, 0.000], [0.000, 0.000, 0.500], [0.000, 0.500, 0.000], [0.500, 0.000, 0.000], [0.500, 0.500, 0.500]], "relative_energy_mev_per_atom": 0.0, "raw_formation_energy_ev_per_atom": 1.44}

Record 12
{"formula": "Fe2B2I", "functional": "PBE", "state": "optimized geometry", "cell": [[6.352, 0.000, 0.000], [0.000, 6.352, 0.000], [0.000, 0.000, 3.035]], "species": ["Fe", "Fe", "Fe", "Fe", "B", "B", "B", "B", "I", "I"], "fractional_positions": [[0.139, 0.361, 0.000], [0.361, 0.861, 0.000], [0.639, 0.139, 0.000], [0.861, 0.639, 0.000], [0.094, 0.594, 0.500], [0.406, 0.094, 0.500], [0.594, 0.906, 0.500], [0.906, 0.406, 0.500], [0.000, 0.000, 0.500], [0.500, 0.500, 0.500]], "relative_energy_mev_per_atom": 429.3, "raw_formation_energy_ev_per_atom": 0.96}

Record 13
{"formula": "FeB2I", "functional": "PBE", "state": "optimized geometry", "cell": [[0.000, 2.879, 2.879], [2.879, 0.000, 2.879], [2.879, 2.879, 0.000]], "species": ["Fe", "B", "B", "I"], "fractional_positions": [[0.000, 0.000, 0.000], [0.250, 0.250, 0.250], [0.750, 0.750, 0.750], [0.500, 0.500, 0.500]], "relative_energy_mev_per_atom": 902.6, "raw_formation_energy_ev_per_atom": 2.03}

Record 14
{"formula": "FeB2I8", "functional": "PBE", "state": "optimized geometry", "cell": [[6.207, -5.640, 0.000], [6.207, 5.640, 0.000], [-0.658, 0.000, 6.469]], "species": ["Fe", "B", "B", "I", "I", "I", "I", "I", "I", "I", "I"], "fractional_positions": [[0.000, 0.000, 0.000], [0.200, 0.200, 0.653], [0.800, 0.800, 0.347], [0.049, 0.733, 0.229], [0.196, 0.196, 0.303], [0.267, 0.951, 0.771], [0.373, 0.373, 0.775], [0.627, 0.627, 0.225], [0.733, 0.049, 0.229], [0.804, 0.804, 0.697], [0.951, 0.267, 0.771]], "raw_formation_energy_ev_per_atom": -0.01}

Record 15
{"formula": "FeB3I", "functional": "PBE", "state": "optimized geometry", "cell": [[4.370, 0.000, 0.000], [0.000, 4.370, 0.000], [0.000, 0.000, 4.370]], "species": ["Fe", "B", "B", "B", "I"], "fractional_positions": [[0.000, 0.000, 0.000], [0.000, 0.500, 0.500], [0.500, 0.000, 0.500], [0.500, 0.500, 0.000], [0.500, 0.500, 0.500]], "relative_energy_mev_per_atom": 1468.2, "raw_formation_energy_ev_per_atom": 2.91}

Record 16
{"formula": "Fe2BI", "functional": "PBE", "state": "optimized geometry", "cell": [[0.000, 2.911, 2.911], [2.911, 0.000, 2.911], [2.911, 2.911, 0.000]], "species": ["Fe", "Fe", "B", "I"], "fractional_positions": [[0.250, 0.250, 0.250], [0.750, 0.750, 0.750], [0.000, 0.000, 0.000], [0.500, 0.500, 0.500]], "relative_energy_mev_per_atom": 511.7, "raw_formation_energy_ev_per_atom": 1.19}

Record 17
{"formula": "Fe2B2I", "functional": "PBE", "state": "optimized geometry", "cell": [[6.678, 0.000, 0.000], [0.000, 6.678, 0.000], [0.000, 0.000, 2.892]], "species": ["Fe", "Fe", "Fe", "Fe", "B", "B", "B", "B", "I", "I"], "fractional_positions": [[0.132, 0.368, 0.000], [0.368, 0.868, 0.000], [0.632, 0.132, 0.000], [0.868, 0.632, 0.000], [0.091, 0.591, 0.500], [0.409, 0.091, 0.500], [0.591, 0.909, 0.500], [0.909, 0.409, 0.500], [0.000, 0.000, 0.000], [0.500, 0.500, 0.000]], "relative_energy_mev_per_atom": 255.4, "raw_formation_energy_ev_per_atom": 0.78}

Record 18
{"formula": "FeB2I", "functional": "PBE", "state": "optimized geometry", "cell": [[-2.585, 2.585, 4.852], [2.585, -2.585, 4.852], [2.585, 2.585, -4.852]], "species": ["Fe", "Fe", "B", "B", "B", "B", "I", "I"], "fractional_positions": [[0.000, 0.000, 0.000], [0.750, 0.250, 0.500], [0.016, 0.625, 0.891], [0.375, 0.266, 0.391], [0.734, 0.125, 0.109], [0.875, 0.984, 0.609], [0.250, 0.750, 0.500], [0.500, 0.500, 0.000]], "relative_energy_mev_per_atom": 0.0, "raw_formation_energy_ev_per_atom": 1.12}

Record 19
{"formula": "Fe2B2I", "functional": "PBE", "state": "optimized geometry", "cell": [[-1.539, 1.539, 6.154], [1.539, -1.539, 6.154], [1.539, 1.539, -6.154]], "species": ["Fe", "Fe", "B", "B", "I"], "fractional_positions": [[0.133, 0.133, 0.000], [0.867, 0.867, 0.000], [0.250, 0.750, 0.500], [0.750, 0.250, 0.500], [0.500, 0.500, 0.000]], "relative_energy_mev_per_atom": 0.0, "raw_formation_energy_ev_per_atom": 0.53}

Record 20
{"formula": "Fe2BI", "functional": "PBE", "state": "optimized geometry", "cell": [[-2.353, 2.353, 6.002], [2.353, -2.353, 6.002], [2.353, 2.353, -6.002]], "species": ["Fe", "Fe", "Fe", "Fe", "B", "B", "I", "I"], "fractional_positions": [[0.375, 0.241, 0.366], [0.759, 0.125, 0.134], [0.875, 0.009, 0.634], [0.991, 0.625, 0.866], [0.000, 0.000, 0.000], [0.750, 0.250, 0.500], [0.250, 0.750, 0.500], [0.500, 0.500, 0.000]], "relative_energy_mev_per_atom": 0.0, "raw_formation_energy_ev_per_atom": 0.68}

no.,calculated volume (A^3/atom)
1,12.05
2,10.02
3,11.43
4,11.81
5,10.18
6,11.52
7,13.00
8,26.81
9,32.57
10,11.16
11,13.39
12,12.24
13,11.93
14,41.18
15,16.69
16,12.34
17,12.90
18,16.21
19,11.66
20,16.62